Entry from Alexandria: a geometry-optimized Y2TmHgN structure (PBE).

abc: 4.721 4.812 4.812
angles: 90.00 90.00 90.00
Sites, in units of the cell vectors:
Y  0.000  0.500  0.000
Y  0.000  0.000  0.500
Tm  0.500  0.000  0.000
Hg  0.500  0.500  0.500
N  0.000  0.000  0.000

## Properties
space-group type	No. 123
raw formation energy	-92	kJ per mole of atoms